(1)
A plane-wave DFT calculation with PBE-GGA was carried out for Pr2CoGe2 after structural relaxation.

```
Pr2CoGe2
1.0
-3.200 6.260 3.023
3.200 -6.260 3.023
3.200 6.260 -3.023
Pr Co Ge
4 2 4
Cartesian
1.307 1.735 0.000
1.307 -1.735 3.023
1.893 7.995 0.000
1.893 4.524 3.023
3.200 0.000 1.512
0.000 6.260 1.512
4.560 1.340 0.000
1.359 4.920 0.000
1.841 1.340 3.023
-1.359 4.920 3.023
```

Computed properties:
Magnetization   0.380 μB/atom
D(E_F)   0.754 states/eV per atom
Calculated volume   24.227 A^3/atom
Formation energy from the elements   -3.0 eV per formula unit
Space-group type   Ibam, No. 72
Total energy   -57.756 eV/cell

(2)
A plane-wave DFT calculation with PBE-GGA was carried out for HoTm2Pa after structural relaxation.

```
HoTm2Pa
1.0
1.699 0.981 11.394
-1.699 0.981 11.394
0.000 -1.962 11.394
Ho Tm Pa
1 2 1
Cartesian
0.000 0.000 0.000
0.000 0.000 14.304
0.000 0.000 19.851
0.000 0.000 5.667
```

Computed properties:
Magnetization   0.000 μB/atom
D(E_F)   1.646 states/eV per atom
Calculated volume   28.487 A^3/atom
Formation energy from the elements   0.4 eV per formula unit
Space-group type   R3m, No. 160
Total energy   -22.624 eV/cell

(3)
A plane-wave DFT calculation with PBE-GGA was carried out for CeTmZnPd after structural relaxation.

```
CeTmZnPd
1.0
0.000 3.554 3.554
3.554 0.000 3.554
3.554 3.554 0.000
Ce Tm Zn Pd
1 1 1 1
Cartesian
0.000 0.000 0.000
3.554 3.554 3.554
5.330 5.330 5.330
1.777 1.777 1.777
```

Computed properties:
Magnetization   0.136 μB/atom
D(E_F)   1.769 states/eV per atom
Calculated volume   22.438 A^3/atom
Formation energy from the elements   -2.0 eV per formula unit
Space-group type   F-43m, No. 216
Total energy   -18.839 eV/cell

Copy entry 1 word for word.
A plane-wave DFT calculation with PBE-GGA was carried out for Pr2CoGe2 after structural relaxation.

```
Pr2CoGe2
1.0
-3.200 6.260 3.023
3.200 -6.260 3.023
3.200 6.260 -3.023
Pr Co Ge
4 2 4
Cartesian
1.307 1.735 0.000
1.307 -1.735 3.023
1.893 7.995 0.000
1.893 4.524 3.023
3.200 0.000 1.512
0.000 6.260 1.512
4.560 1.340 0.000
1.359 4.920 0.000
1.841 1.340 3.023
-1.359 4.920 3.023
```

Computed properties:
Magnetization   0.380 μB/atom
D(E_F)   0.754 states/eV per atom
Calculated volume   24.227 A^3/atom
Formation energy from the elements   -3.0 eV per formula unit
Space-group type   Ibam, No. 72
Total energy   -57.756 eV/cell